{"formula": "PmSmLuZn", "functional": "PBE-GGA", "state": "relaxed", "formation_energy_mev_per_atom": 5, "vol_a3_per_cell": 109.8, "e_tot_ha_per_atom": -0.14005, "crystal_system": "cubic", "cell": [[-4.1521, -2.3931, 2.4337], [-2.8940, -3.6883, -2.6288], [0.3293, -5.1772, 1.4064]], "species": ["Zn", "Pm", "Lu", "Sm"], "frac_coords": [[0.0000, 0.0000, 0.0000], [0.2500, 0.2500, 0.2500], [0.5000, 0.5000, 0.5000], [0.7500, 0.7500, 0.7500]]}